## ZnCrF2 (PBE+U)

Data for crystalline ZnCrF2 at its relaxed geometry.

The calculation puts the total moment at 12.74 μB per cell. The value obtained for the electronic total energy is -4.3909 eV/atom.

The structure belongs to space group R-3m (No. 166, hexagonal axes); the cell edges are 3.0723, 3.0723 and 22.0340 Å and the angles 90.00°, 90.00° and 120.00°. The asymmetric unit holds Zn at (0.0000, 0.0000, 0.0000), Cr at (0.0000, 0.0000, 0.5000) and F at (0.0000, 0.0000, 0.4111).